# 1
Compound: NaErCdTe3
Source: OQMD via LeMat-Bulk
Functional: PBE-GGA
Structure: optimized geometry

Computed properties:
* M_tot: 0.0007 μB/atom
* E above lowest polymorph: 0.11 kcal/mol of atoms

```
data_NaErCdTe3
_cell_length_a 11.6468
_cell_length_b 4.3773
_cell_length_c 14.7658
_cell_angle_alpha 90.00
_cell_angle_beta 90.00
_cell_angle_gamma 90.00
_symmetry_space_group_name_H-M 'P n m a'
_symmetry_Int_Tables_number 62
loop_
_symmetry_equiv_pos_as_xyz
'x,y,z'
'-x,-y,-z'
'-x+1/2,-y,z+1/2'
'x+1/2,y,-z+1/2'
'x+1/2,-y+1/2,-z+1/2'
'-x+1/2,y+1/2,z+1/2'
'-x,y+1/2,-z'
'x,-y+1/2,z'
loop_
_atom_site_label
_atom_site_type_symbol
_atom_site_fract_x
_atom_site_fract_y
_atom_site_fract_z
Na1 Na 0.2327 0.2500 0.0195
Er1 Er 0.0104 0.7500 0.7465
Cd1 Cd 0.2413 0.7500 0.2217
Te1 Te 0.0437 0.7500 0.1128
Te2 Te 0.0670 0.2500 0.6071
Te3 Te 0.2397 0.2500 0.3440
```

# 2
Compound: TlGaPt
Source: OQMD via LeMat-Bulk
Functional: PBE-GGA
Structure: optimized geometry

Computed properties:
* E: -3.53 eV per atom
* M_tot: 0.0011 μB/atom

```
data_TlGaPt
_cell_length_a 6.5176
_cell_length_b 6.5176
_cell_length_c 6.5176
_cell_angle_alpha 90.00
_cell_angle_beta 90.00
_cell_angle_gamma 90.00
_symmetry_space_group_name_H-M 'F -4 3 m'
_symmetry_Int_Tables_number 216
_symmetry_space_group_name_Hall 'F -4 2 3'
loop_
_atom_site_label
_atom_site_type_symbol
_atom_site_fract_x
_atom_site_fract_y
_atom_site_fract_z
Tl1 Tl 0.0000 0.0000 0.0000
Ga1 Ga 0.2500 0.2500 0.7500
Pt1 Pt 0.2500 0.2500 0.2500
```

# 3
Compound: ZrGa2Ag
Source: OQMD via LeMat-Bulk
Functional: PBE-GGA
Structure: optimized geometry

Computed properties:
* E: -4.41 eV per atom
* M_tot: 0.0037 μB/atom

```
data_ZrGa2Ag
_cell_length_a 6.6630
_cell_length_b 6.6630
_cell_length_c 6.6630
_cell_angle_alpha 90.00
_cell_angle_beta 90.00
_cell_angle_gamma 90.00
_symmetry_space_group_name_H-M 'F -4 3 m'
_symmetry_Int_Tables_number 216
_symmetry_space_group_name_Hall 'F -4 2 3'
loop_
_atom_site_label
_atom_site_type_symbol
_atom_site_fract_x
_atom_site_fract_y
_atom_site_fract_z
Zr1 Zr 0.0000 0.0000 0.0000
Ga1 Ga 0.0000 0.0000 0.5000
Ga2 Ga 0.2500 0.2500 0.2500
Ag1 Ag 0.2500 0.2500 0.7500
```

# 4
Compound: Cd2N
Source: OQMD via LeMat-Bulk
Functional: PBE-GGA
Structure: optimized geometry

Computed properties:
* E above lowest polymorph: 0.00 kcal/mol of atoms

```
data_Cd2N
_cell_length_a 5.5106
_cell_length_b 5.5106
_cell_length_c 3.5371
_cell_angle_alpha 90.00
_cell_angle_beta 90.00
_cell_angle_gamma 90.00
_symmetry_space_group_name_H-M 'P 42/m n m'
_symmetry_Int_Tables_number 136
_symmetry_space_group_name_Hall '-P 4n 2n'
loop_
_atom_site_label
_atom_site_type_symbol
_atom_site_fract_x
_atom_site_fract_y
_atom_site_fract_z
Cd1 Cd 0.2034 0.2034 0.0000
N1 N 0.0000 0.0000 0.5000
```

# 5
Compound: NbAlIr2
Source: OQMD via LeMat-Bulk
Functional: PBE-GGA
Structure: optimized geometry

Computed properties:
* E: -8.67 eV per atom
* M_tot: 0.0001 μB/atom

```
data_NbAlIr2
_cell_length_a 2.9163
_cell_length_b 2.9163
_cell_length_c 7.0421
_cell_angle_alpha 90.00
_cell_angle_beta 90.00
_cell_angle_gamma 90.00
_symmetry_space_group_name_H-M 'P 4/m m m'
_symmetry_Int_Tables_number 123
_symmetry_space_group_name_Hall '-P 4 2'
loop_
_atom_site_label
_atom_site_type_symbol
_atom_site_fract_x
_atom_site_fract_y
_atom_site_fract_z
Nb1 Nb 0.0000 0.0000 0.0000
Al1 Al 0.0000 0.0000 0.5000
Ir1 Ir 0.5000 0.5000 0.2731
```

# 6
Compound: PrDy2Te3
Source: OQMD via LeMat-Bulk
Functional: PBE-GGA
Structure: optimized geometry

Computed properties:
* E: -5.24 eV per atom
* M_tot: 0.0001 μB/atom

```
data_PrDy2Te3
_cell_length_a 4.3858
_cell_length_b 4.3858
_cell_length_c 10.9221
_cell_angle_alpha 90.00
_cell_angle_beta 90.00
_cell_angle_gamma 120.00
_symmetry_space_group_name_H-M 'P -3 m 1'
_symmetry_Int_Tables_number 164
_symmetry_space_group_name_Hall '-P 3 2"'
loop_
_atom_site_label
_atom_site_type_symbol
_atom_site_fract_x
_atom_site_fract_y
_atom_site_fract_z
Pr1 Pr 0.0000 0.0000 0.0000
Dy1 Dy 0.3333 0.6667 0.6615
Te1 Te 0.0000 0.0000 0.5000
Te2 Te 0.3333 0.6667 0.1802
```